This record from Alexandria describes a relaxed structure of KTlAgSb. The functional is PBE-GGA.

Computed properties:
ΔE_f (raw)	-5.6	kJ/mol of atoms
E_tot	-42.69	eV for the cell shown
volume	28.3	Å³ per atom

abc: 7.677 7.677 7.677
angles: 90.00 90.00 90.00
Space group F-43m (No. 216)
Inequivalent atoms, fractional coordinates:
K (0.000, 0.000, 0.000) [4 per cell]
Tl (0.250, 0.250, 0.250) [4 per cell]
Ag (0.250, 0.250, 0.750) [4 per cell]
Sb (0.000, 0.000, 0.500) [4 per cell]